Ce3MgH: optimized geometry, GGA-PBE.

Cell and atoms, written as POSCAR:
```
Ce3MgH
1.0
4.904 0.000 0.000
0.000 4.904 0.000
0.000 0.000 4.904
Ce Mg H
3 1 1
Cartesian
0.000 0.000 2.452
0.000 2.452 0.000
2.452 0.000 0.000
2.452 2.452 2.452
0.000 0.000 0.000
```

Calculated values
The calculation puts the density of states at the Fermi level at 13.13 states/eV/cell. The value obtained for the magnetization is 3.74 μB/f.u. For the uncorrected energy, the calculation gives -4.60 eV per atom.